Material: HfTiAs
Method: DFT, GGA-PBE
State: relaxed

Structure (CIF):
```
data_HfTiAs
_chemical_formula_sum 'Hf2 Ti2 As2'
_symmetry_space_group_name_H-M 'I 4 m m'
_symmetry_Int_Tables_number 107
_symmetry_space_group_name_Hall 'I 4 -2'
_cell_length_a 3.4188
_cell_length_b 3.4188
_cell_length_c 9.1653
_cell_angle_alpha 90.00
_cell_angle_beta 90.00
_cell_angle_gamma 90.00
loop_
_atom_site_label
_atom_site_type_symbol
_atom_site_fract_x
_atom_site_fract_y
_atom_site_fract_z
Hf1 Hf 0.0000 0.0000 0.0000
Ti1 Ti 0.0000 0.0000 0.6877
As1 As 0.0000 0.0000 0.3267
```

Output
**Energy of formation from the pure elements**: -0.583 eV/atom
**Density of states at the Fermi level**: 0.9553 states/eV per atom
**Theoretical density**: 9.3 g/cm³
**Total magnetization**: 0.26 Bohr magnetons per cell

Material: HfTiAs
Method: DFT, GGA-PBE
State: relaxed

Structure (CIF):
```
data_HfTiAs
_chemical_formula_sum 'Hf4 Ti4 As4'
_symmetry_space_group_name_H-M 'C m c m'
_symmetry_Int_Tables_number 63
_symmetry_space_group_name_Hall '-C 2c 2'
_cell_length_a 3.5228
_cell_length_b 11.2539
_cell_length_c 5.4243
_cell_angle_alpha 90.00
_cell_angle_beta 90.00
_cell_angle_gamma 90.00
loop_
_atom_site_label
_atom_site_type_symbol
_atom_site_fract_x
_atom_site_fract_y
_atom_site_fract_z
Hf1 Hf 0.0000 0.1943 0.2500
Ti1 Ti 0.0000 0.5000 0.0000
As1 As 0.0000 0.1239 0.7500
```

Output
**Energy of formation from the pure elements**: -0.777 eV/atom
**Density of states at the Fermi level**: 0.8972 states/eV per atom
**Theoretical density**: 9.3 g/cm³
**Total magnetization**: 0.00 Bohr magnetons per cell

Material: Hf2TlAs
Method: DFT, GGA-PBE
State: relaxed

Structure (CIF):
```
data_Hf2TlAs
_chemical_formula_sum 'Hf6 Tl3 As3'
_symmetry_space_group_name_H-M 'R -3 m'
_symmetry_Int_Tables_number 166
_symmetry_space_group_name_Hall '-R 3 2"'
_cell_length_a 3.6565
_cell_length_b 3.6565
_cell_length_c 22.9490
_cell_angle_alpha 90.00
_cell_angle_beta 90.00
_cell_angle_gamma 120.00
loop_
_atom_site_label
_atom_site_type_symbol
_atom_site_fract_x
_atom_site_fract_y
_atom_site_fract_z
Hf1 Hf 0.0000 0.0000 0.2347
Tl1 Tl 0.0000 0.0000 0.0000
As1 As 0.0000 0.0000 0.5000
```

Output
**Energy of formation from the pure elements**: -0.392 eV/atom
**Density of states at the Fermi level**: 0.4127 states/eV per atom
**Theoretical density**: 11.9 g/cm³
**Total magnetization**: 0.00 Bohr magnetons per cell